Record 1
A plane-wave DFT calculation with PBE was carried out for a relaxed structure of CoMo2Os.

Unit cell a=4.6789 b=6.0740 c=2.7521 alpha=63.22 beta=89.90 gamma=121.10
Last column: nearest neighbours and their distance in Å.
Fractional coordinates of all 4 atoms:
1 Mo 0.0000 0.5000 0.5000  4 Mo 2.71-2.75, 4 Os 2.71-2.72, 4 Co 2.71-2.72
2 Co 0.5000 0.0000 0.5000  2 Os 2.71, 8 Mo 2.71-2.72, 2 Co 2.75
3 Os 0.5000 0.5000 0.0000  2 Co 2.71, 8 Mo 2.71-2.72, 2 Os 2.75
4 Mo 0.0000 0.0000 0.0000  4 Mo 2.71-2.75, 4 Co 2.71-2.72, 4 Os 2.71-2.72

N(E_F) ... 4.3 states/eV/cell
Excess energy over the best structure of this formula in the dataset ... 0.16 eV/f.u.
Calculated total energy ... -9.924 eV/atom
Symmetry ... C2/m (12)
Formation energy from the elements ... 0.075 eV per atom

=====

Record 2
A plane-wave DFT calculation with PBE was carried out for a relaxed structure of Co3MoOs.

Unit cell a=4.3953 b=4.3953 c=4.3953 alpha=90.00 beta=90.00 gamma=90.00
Last column: nearest neighbours and their distance in Å.
Fractional coordinates of all 5 atoms:
1 Co 0.5000 0.0000 0.0000  2 Os 2.20
2 Co 0.0000 0.5000 0.0000  2 Os 2.20
3 Co 0.0000 0.0000 0.5000  2 Os 2.20
4 Os 0.0000 0.0000 0.0000  6 Co 2.20
5 Mo 0.5000 0.5000 0.5000  12 Co 3.11

N(E_F) ... 9.3 states/eV/cell
Excess energy over the best structure of this formula in the dataset ... 0.00 eV/f.u.
Calculated total energy ... -6.952 eV/atom
Symmetry ... Pm-3m (221)
Formation energy from the elements ... 1.724 eV per atom

=====

Record 3
A plane-wave DFT calculation with PBE was carried out for a relaxed structure of CoMo2Os.

Unit cell a=4.7164 b=4.7164 c=4.7164 alpha=132.01 beta=132.01 gamma=70.21
Last column: nearest neighbours and their distance in Å.
Fractional coordinates of all 4 atoms:
1 Co 0.7500 0.2500 0.5000  8 Mo 2.71-2.72, 4 Os 2.72
2 Mo 0.2500 0.7500 0.5000  4 Co 2.71, 4 Mo 2.72, 4 Os 2.72
3 Mo 0.0000 0.0000 0.0000  4 Os 2.71, 4 Mo 2.72, 4 Co 2.72
4 Os 0.5000 0.5000 0.0000  8 Mo 2.71-2.72, 4 Co 2.72

N(E_F) ... 3.9 states/eV/cell
Excess energy over the best structure of this formula in the dataset ... 0.32 eV/f.u.
Calculated total energy ... -9.884 eV/atom
Symmetry ... I-4m2 (119)
Formation energy from the elements ... 0.116 eV per atom